Entry 1:
A plane-wave DFT calculation with PBE was carried out for YAlCu2 after structural relaxation.

## Properties
- E_form (eV/atom) = -0.06
- size of the total moment (μB/cell) = 0.0
- crystal system = orthorhombic

Geometry as CIF:
```
data_YAlCu2
_chemical_formula_sum 'Y4 Al4 Cu8'
_cell_length_a 5.3854
_cell_length_b 5.0673
_cell_length_c 11.4619
_cell_angle_alpha 90.00
_cell_angle_beta 90.00
_cell_angle_gamma 90.00
_space_group_name_H-M_alt 'P m m a'
_space_group_IT_number 51
loop_
_space_group_symop_operation_xyz
'x,y,z'
'-x,-y,-z'
'-x+1/2,-y,z'
'x+1/2,y,-z'
'x+1/2,-y,-z'
'-x+1/2,y,z'
'-x,y,-z'
'x,-y,z'
loop_
_atom_site_label
_atom_site_type_symbol
_atom_site_fract_x
_atom_site_fract_y
_atom_site_fract_z
Y1 Y 0.2500 0.0000 0.0931
Y2 Y 0.2500 0.5000 0.3813
Al1 Al 0.2500 0.0000 0.8131
Al2 Al 0.2500 0.5000 0.8236
Cu1 Cu 0.0000 0.0000 0.5000
Cu2 Cu 0.0000 0.5000 0.0000
Cu3 Cu 0.2500 0.2569 0.6350
```

Entry 2:
A plane-wave DFT calculation with PBE was carried out for YAlCu2 after structural relaxation.

## Properties
- E_form (eV/atom) = -0.14
- size of the total moment (μB/cell) = 0.0
- crystal system = cubic

Geometry as CIF:
```
data_YAlCu2
_chemical_formula_sum 'Y4 Al4 Cu8'
_cell_length_a 6.4970
_cell_length_b 6.4970
_cell_length_c 6.4970
_cell_angle_alpha 90.00
_cell_angle_beta 90.00
_cell_angle_gamma 90.00
_space_group_name_H-M_alt 'F -4 3 m'
_space_group_IT_number 216
_space_group_name_Hall 'F -4 2 3'
loop_
_atom_site_label
_atom_site_type_symbol
_atom_site_fract_x
_atom_site_fract_y
_atom_site_fract_z
Y1 Y 0.0000 0.0000 0.0000
Al1 Al 0.2500 0.2500 0.2500
Cu1 Cu 0.0000 0.0000 0.5000
Cu2 Cu 0.2500 0.2500 0.7500
```

Entry 3:
A plane-wave DFT calculation with PBE was carried out for Y4AlCu after structural relaxation.

## Properties
- E_form (eV/atom) = -0.15
- size of the total moment (μB/cell) = 0.0
- crystal system = monoclinic

Geometry as CIF:
```
data_Y4AlCu
_chemical_formula_sum 'Y16 Al4 Cu4'
_cell_length_a 8.7672
_cell_length_b 13.6973
_cell_length_c 5.6745
_cell_angle_alpha 90.00
_cell_angle_beta 111.79
_cell_angle_gamma 90.00
_space_group_name_H-M_alt 'C 1 2/c 1'
_space_group_IT_number 15
loop_
_space_group_symop_operation_xyz
'x,y,z'
'-x,-y,-z'
'-x,y,-z+1/2'
'x,-y,z+1/2'
'x+1/2,y+1/2,z'
'-x+1/2,-y+1/2,-z'
'-x+1/2,y+1/2,-z+1/2'
'x+1/2,-y+1/2,z+1/2'
loop_
_atom_site_label
_atom_site_type_symbol
_atom_site_fract_x
_atom_site_fract_y
_atom_site_fract_z
Y1 Y 0.1171 0.1834 0.0718
Y2 Y 0.2055 0.4254 0.3365
Al1 Al 0.0000 0.3776 0.7500
Cu1 Cu 0.0000 0.0006 0.2500
```

Entry 4:
A plane-wave DFT calculation with PBE was carried out for YAl6Cu6 after structural relaxation.

## Properties
- E_form (eV/atom) = -0.36
- size of the total moment (μB/cell) = 0.0
- crystal system = orthorhombic

Geometry as CIF:
```
data_YAl6Cu6
_chemical_formula_sum 'Y2 Al12 Cu12'
_cell_length_a 5.0933
_cell_length_b 8.6002
_cell_length_c 8.7057
_cell_angle_alpha 90.00
_cell_angle_beta 90.00
_cell_angle_gamma 90.00
_space_group_name_H-M_alt 'I m m m'
_space_group_IT_number 71
_space_group_name_Hall '-I 2 2'
loop_
_atom_site_label
_atom_site_type_symbol
_atom_site_fract_x
_atom_site_fract_y
_atom_site_fract_z
Y1 Y 0.0000 0.0000 0.0000
Al1 Al 0.0000 0.0000 0.3491
Al2 Al 0.0000 0.3466 0.0000
Al3 Al 0.0000 0.5000 0.2982
Cu1 Cu 0.0000 0.2691 0.5000
Cu2 Cu 0.2500 0.2500 0.2500
```

Entry 5:
A plane-wave DFT calculation with PBE was carried out for YAl8Cu4 after structural relaxation.

## Properties
- E_form (eV/atom) = -0.31
- size of the total moment (μB/cell) = 0.0
- crystal system = tetragonal

Geometry as CIF:
```
data_YAl8Cu4
_chemical_formula_sum 'Y2 Al16 Cu8'
_cell_length_a 8.8267
_cell_length_b 8.8267
_cell_length_c 5.1276
_cell_angle_alpha 90.00
_cell_angle_beta 90.00
_cell_angle_gamma 90.00
_space_group_name_H-M_alt 'I 4/m m m'
_space_group_IT_number 139
_space_group_name_Hall '-I 4 2'
loop_
_atom_site_label
_atom_site_type_symbol
_atom_site_fract_x
_atom_site_fract_y
_atom_site_fract_z
Y1 Y 0.0000 0.0000 0.0000
Al1 Al 0.0000 0.2183 0.5000
Al2 Al 0.0000 0.3478 0.0000
Cu1 Cu 0.2500 0.2500 0.2500
```

Entry 6:
A plane-wave DFT calculation with PBE was carried out for YAl3Cu2 after structural relaxation.

## Properties
- E_form (eV/atom) = -0.34
- size of the total moment (μB/cell) = 0.0
- crystal system = orthorhombic

Geometry as CIF:
```
data_YAl3Cu2
_chemical_formula_sum 'Y4 Al12 Cu8'
_cell_length_a 9.8051
_cell_length_b 8.0461
_cell_length_c 5.2069
_cell_angle_alpha 90.00
_cell_angle_beta 90.00
_cell_angle_gamma 90.00
_space_group_name_H-M_alt 'C m c m'
_space_group_IT_number 63
_space_group_name_Hall '-C 2c 2'
loop_
_atom_site_label
_atom_site_type_symbol
_atom_site_fract_x
_atom_site_fract_y
_atom_site_fract_z
Y1 Y 0.0000 0.1594 0.2500
Al1 Al 0.0000 0.4544 0.7500
Al2 Al 0.1804 0.2202 0.7500
Cu1 Cu 0.2155 0.5000 0.0000
```

Entry 7:
A plane-wave DFT calculation with PBE was carried out for Y3Al6Cu5 after structural relaxation.

## Properties
- E_form (eV/atom) = -0.42
- size of the total moment (μB/cell) = 0.0
- crystal system = orthorhombic

Geometry as CIF:
```
data_Y3Al6Cu5
_chemical_formula_sum 'Y6 Al12 Cu10'
_cell_length_a 4.1987
_cell_length_b 12.4948
_cell_length_c 9.2826
_cell_angle_alpha 90.00
_cell_angle_beta 90.00
_cell_angle_gamma 90.00
_space_group_name_H-M_alt 'P m m n'
_space_group_IT_number 59
loop_
_space_group_symop_operation_xyz
'x,y,z'
'-x,-y,-z'
'-x+1/2,-y+1/2,z'
'x+1/2,y+1/2,-z'
'x+1/2,-y,-z'
'-x+1/2,y,z'
'-x,y+1/2,-z'
'x,-y+1/2,z'
loop_
_atom_site_label
_atom_site_type_symbol
_atom_site_fract_x
_atom_site_fract_y
_atom_site_fract_z
Y1 Y 0.2500 0.0505 0.2430
Y2 Y 0.2500 0.7500 0.2566
Al1 Al 0.2500 0.0722 0.5867
Al2 Al 0.2500 0.2500 0.0383
Al3 Al 0.2500 0.2500 0.4235
Al4 Al 0.2500 0.5997 0.9830
Cu1 Cu 0.2500 0.0935 0.8673
Cu2 Cu 0.2500 0.6347 0.5411
Cu3 Cu 0.2500 0.7500 0.7806
```

Entry 8:
A plane-wave DFT calculation with PBE was carried out for YAlCu2 after structural relaxation.

## Properties
- E_form (eV/atom) = -0.16
- size of the total moment (μB/cell) = 0.0
- crystal system = orthorhombic

Geometry as CIF:
```
data_YAlCu2
_chemical_formula_sum 'Y1 Al1 Cu2'
_cell_length_a 3.0651
_cell_length_b 3.3090
_cell_length_c 6.7740
_cell_angle_alpha 90.00
_cell_angle_beta 90.00
_cell_angle_gamma 90.00
_space_group_name_H-M_alt 'P m m 2'
_space_group_IT_number 25
loop_
_space_group_symop_operation_xyz
'x,y,z'
'-x,-y,z'
'-x,y,z'
'x,-y,z'
loop_
_atom_site_label
_atom_site_type_symbol
_atom_site_fract_x
_atom_site_fract_y
_atom_site_fract_z
Y1 Y 0.0000 0.0000 0.0000
Al1 Al 0.5000 0.5000 0.6686
Cu1 Cu 0.0000 0.0000 0.4768
Cu2 Cu 0.5000 0.5000 0.2865
```

Entry 9:
A plane-wave DFT calculation with PBE was carried out for Y5Al4Cu after structural relaxation.

## Properties
- E_form (eV/atom) = -0.38
- size of the total moment (μB/cell) = 0.0
- crystal system = tetragonal

Geometry as CIF:
```
data_Y5Al4Cu
_chemical_formula_sum 'Y5 Al4 Cu1'
_cell_length_a 3.5368
_cell_length_b 3.5368
_cell_length_c 18.4556
_cell_angle_alpha 90.00
_cell_angle_beta 90.00
_cell_angle_gamma 90.00
_space_group_name_H-M_alt 'P 4/m m m'
_space_group_IT_number 123
_space_group_name_Hall '-P 4 2'
loop_
_atom_site_label
_atom_site_type_symbol
_atom_site_fract_x
_atom_site_fract_y
_atom_site_fract_z
Y1 Y 0.0000 0.0000 0.0000
Y2 Y 0.0000 0.0000 0.2026
Y3 Y 0.0000 0.0000 0.4065
Al1 Al 0.5000 0.5000 0.1011
Al2 Al 0.5000 0.5000 0.3048
Cu1 Cu 0.5000 0.5000 0.5000
```

Entry 10:
A plane-wave DFT calculation with PBE was carried out for YAlCu2 after structural relaxation.

## Properties
- E_form (eV/atom) = 0.00
- size of the total moment (μB/cell) = 0.0
- crystal system = tetragonal

Geometry as CIF:
```
data_YAlCu2
_chemical_formula_sum 'Y4 Al4 Cu8'
_cell_length_a 4.4676
_cell_length_b 4.4676
_cell_length_c 16.6517
_cell_angle_alpha 90.00
_cell_angle_beta 90.00
_cell_angle_gamma 90.00
_space_group_name_H-M_alt 'I -4 2 d'
_space_group_IT_number 122
_space_group_name_Hall 'I -4 2bw'
loop_
_atom_site_label
_atom_site_type_symbol
_atom_site_fract_x
_atom_site_fract_y
_atom_site_fract_z
Y1 Y 0.0000 0.0000 0.0000
Al1 Al 0.0000 0.0000 0.5000
Cu1 Cu 0.0859 0.2500 0.6250
```

Listing density for the structures above in their given order: 5.16, 5.88, 4.68, 5.50, 4.65, 4.80, 5.09, 5.87, 4.43, 4.86 g/cm³.